# 1
LaSi2Hg | Alexandria | PBE | relaxed; calculated volume = 23.38 Å³ per atom; M_tot = 0.00 Bohr magnetons per cell; ΔE_f (raw) = -0.9 eV per formula unit
1.0
4.147 0.000 0.000
0.000 3.846 0.000
-2.054 0.000 5.864
La Si Hg
1 2 1
direct
0.000 0.000 0.000
0.270 0.000 0.537
0.393 0.500 0.782
0.685 0.500 0.365


# 2
LaSi2Hg | Alexandria | PBE | relaxed; calculated volume = 23.13 Å³ per atom; M_tot = 0.00 Bohr magnetons per cell; ΔE_f (raw) = -0.1 eV per formula unit
1.0
-2.208 2.208 4.747
2.208 -2.208 4.747
2.208 2.208 -4.747
La Si Hg
1 2 1
direct
0.000 0.000 0.000
0.250 0.750 0.500
0.750 0.250 0.500
0.500 0.500 0.000


Values of density of states at the Fermi level, in order: 0.57; 0.63, all in states/eV per atom.